Material: RbNaAsO3
Method: DFT, PBE-GGA
State: optimized geometry

Cell and atoms, written as POSCAR:
```
RbNaAsO3
1.0
4.858 -3.942 0.000
4.858 3.942 0.000
-4.258 0.000 6.334
Rb Na As O
2 2 2 6
direct
0.210 0.210 0.226 Rb
0.790 0.790 0.774 Rb
0.179 0.821 0.500 Na
0.821 0.179 0.500 Na
0.436 0.436 0.805 As
0.564 0.564 0.195 As
0.223 0.223 0.654 O
0.309 0.670 0.242 O
0.330 0.691 0.758 O
0.670 0.309 0.242 O
0.691 0.330 0.758 O
0.777 0.777 0.346 O
```

Calculated values
symmetry = No. 12
Fermi-level density of states = 0.0 states/eV/f.u.
VASP energy = -5.15 eV/atom
crystal system = monoclinic
spin magnetization = 0.0 μB/cell



Material: Rb2NaAs2O6
Method: DFT, PBE-GGA
State: optimized geometry

Cell and atoms, written as POSCAR:
```
Rb2NaAs2O6
1.0
3.112 1.797 6.250
-3.112 1.797 6.250
0.000 -3.594 6.250
Rb Na As O
2 1 2 6
direct
0.217 0.217 0.217 Rb
0.783 0.783 0.783 Rb
0.000 0.000 0.000 Na
0.430 0.430 0.430 As
0.570 0.570 0.570 As
0.259 0.259 0.724 O
0.259 0.724 0.259 O
0.276 0.741 0.741 O
0.724 0.259 0.259 O
0.741 0.276 0.741 O
0.741 0.741 0.276 O
```

Calculated values
symmetry = No. 166
Fermi-level density of states = 2.2 states/eV/f.u.
VASP energy = -5.27 eV/atom
crystal system = trigonal
spin magnetization = 0.9 μB/cell



Material: RbNaAsO4
Method: DFT, PBE-GGA
State: optimized geometry

Cell and atoms, written as POSCAR:
```
RbNaAsO4
1.0
-3.060 3.060 4.401
3.060 -3.060 4.401
3.060 3.060 -4.401
Rb Na As O
1 1 1 4
direct
0.000 0.000 0.000 Rb
0.500 0.500 0.000 Na
0.250 0.750 0.500 As
0.251 0.670 0.190 O
0.330 0.520 0.582 O
0.480 0.062 0.810 O
0.938 0.749 0.418 O
```

Calculated values
symmetry = No. 82
Fermi-level density of states = 8.2 states/eV/f.u.
VASP energy = -5.18 eV/atom
crystal system = tetragonal
spin magnetization = 1.0 μB/cell



Material: NaReAsO6
Method: DFT, PBE-GGA
State: optimized geometry

Cell and atoms, written as POSCAR:
```
NaReAsO6
1.0
5.132 0.000 0.000
-2.566 4.445 0.000
0.000 0.000 5.240
Na Re As O
1 1 1 6
direct
0.000 0.000 0.000 Na
0.333 0.667 0.500 Re
0.667 0.333 0.500 As
0.393 0.004 0.705 O
0.393 0.389 0.295 O
0.611 0.004 0.295 O
0.611 0.607 0.705 O
0.996 0.389 0.705 O
0.996 0.607 0.295 O
```

Calculated values
symmetry = No. 149
Fermi-level density of states = 2.9 states/eV/f.u.
VASP energy = -6.81 eV/atom
crystal system = trigonal
spin magnetization = 0.0 μB/cell



Material: NaAsRhO4
Method: DFT, PBE-GGA
State: optimized geometry

Cell and atoms, written as POSCAR:
```
NaAsRhO4
1.0
0.000 4.376 4.376
4.376 0.000 4.376
4.376 4.376 0.000
Na As Rh O
1 1 1 4
direct
0.000 0.000 0.000 Na
0.500 0.500 0.500 As
0.250 0.250 0.250 Rh
0.386 0.386 0.386 O
0.386 0.386 0.843 O
0.386 0.843 0.386 O
0.843 0.386 0.386 O
```

Calculated values
symmetry = No. 216
Fermi-level density of states = 5.8 states/eV/f.u.
VASP energy = -5.38 eV/atom
crystal system = cubic
spin magnetization = 3.0 μB/cell



Material: NaAs2RhO8
Method: DFT, PBE-GGA
State: optimized geometry

Cell and atoms, written as POSCAR:
```
NaAs2RhO8
1.0
-3.457 3.457 3.108
3.457 -3.457 3.108
3.457 3.457 -3.108
Na As Rh O
1 2 1 8
direct
0.000 0.000 0.000 Na
0.500 0.500 0.000 As
0.750 0.250 0.500 As
0.250 0.750 0.500 Rh
0.318 0.127 0.809 O
0.318 0.509 0.191 O
0.377 0.056 0.322 O
0.491 0.682 0.809 O
0.734 0.056 0.678 O
0.873 0.682 0.191 O
0.944 0.266 0.322 O
0.944 0.623 0.678 O
```

Calculated values
symmetry = No. 119
Fermi-level density of states = 6.2 states/eV/f.u.
VASP energy = -5.52 eV/atom
crystal system = tetragonal
spin magnetization = 2.4 μB/cell



Look up the spin magnetization of the fourth one. 0.0 μB/cell



What is the formula in the third record? RbNaAsO4



Which formula does entry 6 have? NaAs2RhO8



Look up the spin magnetization of the third one. 1.0 μB/cell